Record 1
## CaLa3Pm2 (GGA-PBE)

Data for crystalline CaLa3Pm2 at its relaxed geometry.

Lattice parameters (Å, degrees): 6.4961 6.4978 11.7404 100.52 100.44 110.02
Last column: nearest neighbours and their distance in Å.
Fractional coordinates of all 12 atoms:
Ca 0.1256 0.3756 0.2502  8 La 3.72-3.74, 4 Pm 3.78-3.79
Ca 0.8744 0.6244 0.7498  8 La 3.72-3.74, 4 Pm 3.78-3.79
La 0.0430 0.7930 0.0859  5 Pm 3.71-3.77, 4 La 3.72-3.77, 3 Ca 3.73-3.74
La 0.2930 0.5429 0.5862  5 Pm 3.71-3.76, 3 Ca 3.72-3.74, 4 La 3.73-3.77
La 0.3745 0.1246 0.7506  6 Pm 3.62-3.79, 4 La 3.72-3.73, 2 Ca 3.72-3.73
La 0.6255 0.8754 0.2494  6 Pm 3.62-3.79, 4 La 3.72-3.73, 2 Ca 3.72-3.73
La 0.7070 0.4571 0.4138  5 Pm 3.71-3.76, 3 Ca 3.72-3.74, 4 La 3.73-3.77
La 0.9570 0.2070 0.9141  5 Pm 3.71-3.77, 4 La 3.72-3.77, 3 Ca 3.73-3.74
Pm 0.2123 0.9624 0.4245  8 La 3.63-3.79, 2 Pm 3.66, 2 Ca 3.78-3.79
Pm 0.4616 0.7120 0.9241  8 La 3.62-3.78, 2 Pm 3.66, 2 Ca 3.78
Pm 0.5384 0.2880 0.0759  8 La 3.62-3.78, 2 Pm 3.66, 2 Ca 3.78
Pm 0.7877 0.0376 0.5755  8 La 3.63-3.79, 2 Pm 3.66, 2 Ca 3.78-3.79

Computed properties:
Formation energy from the elements   0.02 eV/atom
DOS(E_F)   19.22 states/eV per cell
Volume   36.80 Å³ per atom
Theoretical density   5.62 Mg/m³
Raw total energy   -4.3605 eV per atom

Record 2
## NaBiH2F8 (GGA-PBE)

Data for crystalline NaBiH2F8 at its relaxed geometry.

Lattice parameters (Å, degrees): 4.8989 5.0368 7.1574 83.19 89.75 74.80
Last column: nearest neighbours and their distance in Å.
Fractional coordinates of all 12 atoms:
Na 0.0000 0.0000 0.0000  6 F 2.30-2.53
Bi 0.0000 0.0000 0.5000  6 F 2.02-2.09
H 0.2739 0.4438 0.8447  1 F 0.97
H 0.7261 0.5562 0.1553  1 F 0.97
F 0.2242 0.7960 0.2939  1 Bi 2.05
F 0.2251 0.7450 0.7314  1 H 1.59
F 0.2608 0.2513 0.4993  1 Bi 2.02
F 0.2876 0.2930 0.9440  1 H 0.97
F 0.7124 0.7070 0.0560  1 H 0.97
F 0.7392 0.7487 0.5007  1 Bi 2.02
F 0.7749 0.2550 0.2686  1 H 1.59
F 0.7758 0.2040 0.7061  1 Bi 2.05

Computed properties:
DOS(E_F)   0.00 states/eV per cell
Volume   14.10 Å³ per atom
Theoretical density   3.79 Mg/m³
Raw total energy   -4.1718 eV per atom

Copy entry 2 word for word.
## NaBiH2F8 (GGA-PBE)

Data for crystalline NaBiH2F8 at its relaxed geometry.

Lattice parameters (Å, degrees): 4.8989 5.0368 7.1574 83.19 89.75 74.80
Last column: nearest neighbours and their distance in Å.
Fractional coordinates of all 12 atoms:
Na 0.0000 0.0000 0.0000  6 F 2.30-2.53
Bi 0.0000 0.0000 0.5000  6 F 2.02-2.09
H 0.2739 0.4438 0.8447  1 F 0.97
H 0.7261 0.5562 0.1553  1 F 0.97
F 0.2242 0.7960 0.2939  1 Bi 2.05
F 0.2251 0.7450 0.7314  1 H 1.59
F 0.2608 0.2513 0.4993  1 Bi 2.02
F 0.2876 0.2930 0.9440  1 H 0.97
F 0.7124 0.7070 0.0560  1 H 0.97
F 0.7392 0.7487 0.5007  1 Bi 2.02
F 0.7749 0.2550 0.2686  1 H 1.59
F 0.7758 0.2040 0.7061  1 Bi 2.05

Computed properties:
DOS(E_F)   0.00 states/eV per cell
Volume   14.10 Å³ per atom
Theoretical density   3.79 Mg/m³
Raw total energy   -4.1718 eV per atom

Please write out number 1 again, unchanged.
## CaLa3Pm2 (GGA-PBE)

Data for crystalline CaLa3Pm2 at its relaxed geometry.

Lattice parameters (Å, degrees): 6.4961 6.4978 11.7404 100.52 100.44 110.02
Last column: nearest neighbours and their distance in Å.
Fractional coordinates of all 12 atoms:
Ca 0.1256 0.3756 0.2502  8 La 3.72-3.74, 4 Pm 3.78-3.79
Ca 0.8744 0.6244 0.7498  8 La 3.72-3.74, 4 Pm 3.78-3.79
La 0.0430 0.7930 0.0859  5 Pm 3.71-3.77, 4 La 3.72-3.77, 3 Ca 3.73-3.74
La 0.2930 0.5429 0.5862  5 Pm 3.71-3.76, 3 Ca 3.72-3.74, 4 La 3.73-3.77
La 0.3745 0.1246 0.7506  6 Pm 3.62-3.79, 4 La 3.72-3.73, 2 Ca 3.72-3.73
La 0.6255 0.8754 0.2494  6 Pm 3.62-3.79, 4 La 3.72-3.73, 2 Ca 3.72-3.73
La 0.7070 0.4571 0.4138  5 Pm 3.71-3.76, 3 Ca 3.72-3.74, 4 La 3.73-3.77
La 0.9570 0.2070 0.9141  5 Pm 3.71-3.77, 4 La 3.72-3.77, 3 Ca 3.73-3.74
Pm 0.2123 0.9624 0.4245  8 La 3.63-3.79, 2 Pm 3.66, 2 Ca 3.78-3.79
Pm 0.4616 0.7120 0.9241  8 La 3.62-3.78, 2 Pm 3.66, 2 Ca 3.78
Pm 0.5384 0.2880 0.0759  8 La 3.62-3.78, 2 Pm 3.66, 2 Ca 3.78
Pm 0.7877 0.0376 0.5755  8 La 3.63-3.79, 2 Pm 3.66, 2 Ca 3.78-3.79

Computed properties:
Formation energy from the elements   0.02 eV/atom
DOS(E_F)   19.22 states/eV per cell
Volume   36.80 Å³ per atom
Theoretical density   5.62 Mg/m³
Raw total energy   -4.3605 eV per atom

Question: Look up the raw total energy of the first one.
Answer: -4.3605 eV per atom